DFT (PBE-GGA) results for a relaxed PrMg4Rh2 crystal.

CIF file:
```
data_PrMg4Rh2
_cell_length_a 4.184
_cell_length_b 8.280
_cell_length_c 8.280
_cell_angle_alpha 90.00
_cell_angle_beta 90.00
_cell_angle_gamma 90.00
_space_group_name_H-M_alt 'P 1'
_space_group_IT_number 1
_space_group_name_Hall 'P 1'
loop_
_atom_site_label
_atom_site_fract_x
_atom_site_fract_y
_atom_site_fract_z
_atom_site_occupancy
Pr1 0.500 0.000 0.000 1
Pr2 0.000 0.500 0.500 1
Mg1 0.000 0.096 0.338 1
Mg2 0.000 0.904 0.662 1
Mg3 0.500 0.162 0.596 1
Mg4 0.500 0.838 0.404 1
Mg5 0.500 0.404 0.838 1
Mg6 0.500 0.596 0.162 1
Mg7 0.000 0.338 0.096 1
Mg8 0.000 0.662 0.904 1
Rh1 0.000 0.201 0.799 1
Rh2 0.000 0.799 0.201 1
Rh3 0.500 0.701 0.701 1
Rh4 0.500 0.299 0.299 1
```

Values from the calculation:
SG   No. 136
Energy of formation   -0.42 eV/atom

***

DFT (PBE-GGA) results for a relaxed KTlP2 crystal.

CIF file:
```
data_KTlP2
_cell_length_a 5.134
_cell_length_b 5.134
_cell_length_c 5.134
_cell_angle_alpha 60.00
_cell_angle_beta 60.00
_cell_angle_gamma 60.00
_space_group_name_H-M_alt 'P 1'
_space_group_IT_number 1
_space_group_name_Hall 'P 1'
loop_
_atom_site_label
_atom_site_fract_x
_atom_site_fract_y
_atom_site_fract_z
_atom_site_occupancy
P1 0.250 0.250 0.250 1
P2 0.750 0.750 0.750 1
Tl1 0.500 0.500 0.500 1
K1 0.000 0.000 0.000 1
```

Values from the calculation:
SG   No. 225
Energy of formation   0.52 eV/atom
Relative energy among the computed polymorphs   271 kJ/mol of formula units

***

DFT (PBE-GGA) results for a relaxed BeNi2As crystal.

CIF file:
```
data_BeNi2As
_cell_length_a 3.976
_cell_length_b 3.976
_cell_length_c 3.976
_cell_angle_alpha 60.00
_cell_angle_beta 60.00
_cell_angle_gamma 60.00
_space_group_name_H-M_alt 'P 1'
_space_group_IT_number 1
_space_group_name_Hall 'P 1'
loop_
_atom_site_label
_atom_site_fract_x
_atom_site_fract_y
_atom_site_fract_z
_atom_site_occupancy
Ni1 0.250 0.250 0.250 1
Ni2 0.750 0.750 0.750 1
As1 0.500 0.500 0.500 1
Be1 0.000 0.000 0.000 1
```

Values from the calculation:
SG   No. 225
Energy of formation   -0.18 eV/atom
Relative energy among the computed polymorphs   3 kJ/mol of formula units

***

DFT (PBE-GGA) results for a relaxed MnPt2W crystal.

CIF file:
```
data_MnPt2W
_cell_length_a 4.785
_cell_length_b 4.785
_cell_length_c 2.765
_cell_angle_alpha 90.00
_cell_angle_beta 90.00
_cell_angle_gamma 90.00
_space_group_name_H-M_alt 'P 1'
_space_group_IT_number 1
_space_group_name_Hall 'P 1'
loop_
_atom_site_label
_atom_site_fract_x
_atom_site_fract_y
_atom_site_fract_z
_atom_site_occupancy
Mn1 0.000 0.500 0.500 1
Pt1 0.000 0.000 0.000 1
Pt2 0.500 0.500 0.000 1
W1 0.500 0.000 0.500 1
```

Values from the calculation:
SG   No. 123
Energy of formation   -0.08 eV/atom
Relative energy among the computed polymorphs   80 kJ/mol of formula units

***

DFT (PBE-GGA) results for a relaxed CeAl6Ir3 crystal.

CIF file:
```
data_CeAl6Ir3
_cell_length_a 4.242
_cell_length_b 8.211
_cell_length_c 9.890
_cell_angle_alpha 82.85
_cell_angle_beta 90.00
_cell_angle_gamma 90.00
_space_group_name_H-M_alt 'P 1'
_space_group_IT_number 1
_space_group_name_Hall 'P 1'
loop_
_atom_site_label
_atom_site_fract_x
_atom_site_fract_y
_atom_site_fract_z
_atom_site_occupancy
Ce1 0.750 0.057 0.717 1
Ce2 0.250 0.943 0.283 1
Al1 0.750 0.429 0.571 1
Al2 0.250 0.571 0.429 1
Al3 0.750 0.865 0.025 1
Al4 0.250 0.135 0.975 1
Al5 0.750 0.463 0.085 1
Al6 0.250 0.537 0.915 1
Al7 0.750 0.672 0.267 1
Al8 0.250 0.328 0.733 1
Al9 0.750 0.164 0.395 1
Al10 0.250 0.836 0.605 1
Al11 0.750 0.679 0.764 1
Al12 0.250 0.321 0.236 1
Ir1 0.750 0.372 0.853 1
Ir2 0.250 0.628 0.147 1
Ir3 0.750 0.743 0.500 1
Ir4 0.250 0.257 0.500 1
Ir5 0.750 0.153 0.135 1
Ir6 0.250 0.847 0.865 1
```

Values from the calculation:
SG   No. 11
Energy of formation   -0.76 eV/atom

***

DFT (PBE-GGA) results for a relaxed RbTlZn2S crystal.

CIF file:
```
data_RbTlZn2S
_cell_length_a 5.041
_cell_length_b 6.260
_cell_length_c 5.041
_cell_angle_alpha 90.00
_cell_angle_beta 90.00
_cell_angle_gamma 90.00
_space_group_name_H-M_alt 'P 1'
_space_group_IT_number 1
_space_group_name_Hall 'P 1'
loop_
_atom_site_label
_atom_site_fract_x
_atom_site_fract_y
_atom_site_fract_z
_atom_site_occupancy
S1 0.000 0.000 0.000 1
Tl1 0.000 0.500 0.000 1
Zn1 0.000 0.000 0.500 1
Zn2 0.500 0.000 0.000 1
Rb1 0.500 0.500 0.500 1
```

Values from the calculation:
SG   No. 123
Formation energy (no corrections)   0.14 eV per atom

***

DFT (PBE-GGA) results for a relaxed ZnNi5Se8 crystal.

CIF file:
```
data_ZnNi5Se8
_cell_length_a 7.183
_cell_length_b 7.183
_cell_length_c 7.183
_cell_angle_alpha 60.00
_cell_angle_beta 60.00
_cell_angle_gamma 60.00
_space_group_name_H-M_alt 'P 1'
_space_group_IT_number 1
_space_group_name_Hall 'P 1'
loop_
_atom_site_label
_atom_site_fract_x
_atom_site_fract_y
_atom_site_fract_z
_atom_site_occupancy
Zn1 0.250 0.250 0.250 1
Ni1 0.000 0.000 0.000 1
Ni2 0.626 0.626 0.121 1
Ni3 0.626 0.626 0.626 1
Ni4 0.121 0.626 0.626 1
Ni5 0.626 0.121 0.626 1
Se1 0.389 0.834 0.389 1
Se2 0.834 0.389 0.389 1
Se3 0.389 0.389 0.389 1
Se4 0.389 0.389 0.834 1
Se5 0.865 0.865 0.404 1
Se6 0.404 0.865 0.865 1
Se7 0.865 0.865 0.865 1
Se8 0.865 0.404 0.865 1
```

Values from the calculation:
SG   No. 216
Formation energy (no corrections)   -0.30 eV per atom

***

DFT (PBE-GGA) results for a relaxed V3GaH2 crystal.

CIF file:
```
data_V3GaH2
_cell_length_a 2.660
_cell_length_b 5.411
_cell_length_c 8.893
_cell_angle_alpha 100.07
_cell_angle_beta 90.00
_cell_angle_gamma 90.00
_space_group_name_H-M_alt 'P 1'
_space_group_IT_number 1
_space_group_name_Hall 'P 1'
loop_
_atom_site_label
_atom_site_fract_x
_atom_site_fract_y
_atom_site_fract_z
_atom_site_occupancy
V1 0.750 0.945 0.133 1
V2 0.250 0.055 0.867 1
V3 0.750 0.591 0.870 1
V4 0.250 0.409 0.130 1
V5 0.250 0.284 0.377 1
V6 0.750 0.716 0.623 1
Ga1 0.250 0.755 0.367 1
Ga2 0.750 0.245 0.633 1
H1 0.250 0.393 0.922 1
H2 0.750 0.607 0.078 1
H3 0.750 0.074 0.333 1
H4 0.250 0.926 0.667 1
```

Values from the calculation:
SG   No. 11
Relative energy among the computed polymorphs   114 kJ/mol of formula units

***

DFT (PBE-GGA) results for a relaxed Er3Zn2Cu2 crystal.

CIF file:
```
data_Er3Zn2Cu2
_cell_length_a 4.686
_cell_length_b 4.678
_cell_length_c 8.928
_cell_angle_alpha 90.38
_cell_angle_beta 105.13
_cell_angle_gamma 120.09
_space_group_name_H-M_alt 'P 1'
_space_group_IT_number 1
_space_group_name_Hall 'P 1'
loop_
_atom_site_label
_atom_site_fract_x
_atom_site_fract_y
_atom_site_fract_z
_atom_site_occupancy
Er1 0.000 0.000 0.000 1
Er2 0.430 0.213 0.647 1
Er3 0.570 0.787 0.353 1
Zn1 0.803 0.403 0.204 1
Zn2 0.197 0.597 0.796 1
Cu1 0.207 0.105 0.309 1
Cu2 0.793 0.895 0.691 1
```

Values from the calculation:
SG   No. 12
Energy of formation   -0.09 eV/atom

***

DFT (PBE-GGA) results for a relaxed V2ZnPd6 crystal.

CIF file:
```
data_V2ZnPd6
_cell_length_a 4.477
_cell_length_b 4.937
_cell_length_c 7.138
_cell_angle_alpha 81.83
_cell_angle_beta 71.72
_cell_angle_gamma 63.04
_space_group_name_H-M_alt 'P 1'
_space_group_IT_number 1
_space_group_name_Hall 'P 1'
loop_
_atom_site_label
_atom_site_fract_x
_atom_site_fract_y
_atom_site_fract_z
_atom_site_occupancy
V1 0.338 0.500 0.824 1
V2 0.662 0.500 0.176 1
Zn1 0.000 0.500 0.500 1
Pd1 0.984 0.191 0.842 1
Pd2 0.325 0.191 0.158 1
Pd3 0.675 0.809 0.842 1
Pd4 0.343 0.814 0.500 1
Pd5 0.657 0.186 0.500 1
Pd6 0.016 0.809 0.158 1
```

Values from the calculation:
SG   No. 69
Energy of formation   -0.24 eV/atom

***

Number 1: final energy -4.115 eV per atom. Number 2: final energy -3.047 eV per atom. Number 3: final energy -5.165 eV per atom. Number 4: final energy -8.635 eV per atom. Number 5: final energy -6.259 eV per atom. Number 6: final energy -1.857 eV per atom. Number 7: final energy -4.450 eV per atom. Number 8: final energy -6.178 eV per atom. Number 9: final energy -3.580 eV per atom. Number 10: final energy -5.867 eV per atom.